1 | Below is a relaxed NbAlNF2 crystal, with properties calculated at the PBE level.

Lattice parameters (Å, degrees): 3.495 3.495 4.709 90.00 90.00 90.00
Space group P4/mmm (No. 123)
Inequivalent atoms, fractional coordinates:
Nb 0.000 0.000 0.000 [1 per cell]
Al 0.500 0.500 0.500 [1 per cell]
N 0.500 0.500 0.000 [1 per cell]
F 0.000 0.500 0.500 [2 per cell]

Output
**Total magnetization**: 0.533 μB/atom
**V**: 57.51 Å³/cell
**Density of states at the Fermi level**: 1.846 states/eV per cell

2 | Below is a relaxed NbAlNF2 crystal, with properties calculated at the PBE level.

Lattice parameters (Å, degrees): 4.311 4.311 4.042 90.00 90.00 90.00
Space group P4/mmm (No. 123)
Inequivalent atoms, fractional coordinates:
Nb 0.000 0.000 0.000 [1 per cell]
Al 0.500 0.500 0.500 [1 per cell]
N 0.000 0.000 0.500 [1 per cell]
F 0.000 0.500 0.000 [2 per cell]

Output
**Total magnetization**: 0.193 μB/atom
**V**: 75.11 Å³/cell
**Density of states at the Fermi level**: 1.043 states/eV per cell

Most stable pick: 1. Distance to second place: 0.045 eV/atom.